P.
DFT (GGA-PBE) results for an optimized crystal structure of Na2TaPt.

Properties
Size of the total moment: 1.74 μB per formula unit
Space-group type: No. 122
Density: 7.59 Mg/m³

Cell: 8.4866 8.4866 6.5260 Å, 49.44 49.44 90.00°
Last column: nearest neighbours and their distance in Å.
Positions (direct):
Na1 0.6702 0.1250 0.2500  2 Na 2.68, 2 Pt 2.82
Na2 0.0798 0.6250 0.2500  2 Na 2.68, 2 Pt 2.82
Na3 0.3750 0.3298 0.7500  2 Na 2.68, 2 Pt 2.82
Na4 0.8750 0.9202 0.7500  2 Na 2.68, 2 Pt 2.82
Pt1 0.0000 0.0000 0.0000  2 Ta 2.56, 4 Na 2.82
Pt2 0.7500 0.2500 0.5000  2 Ta 2.56, 4 Na 2.82
Ta1 0.5000 0.5000 0.0000  2 Pt 2.56
Ta2 0.2500 0.7500 0.5000  2 Pt 2.56

***

Q.
DFT (GGA-PBE) results for an optimized crystal structure of Na2TaPt.

Properties
Size of the total moment: 0.00 μB per formula unit
Space-group type: No. 225
Density: 9.42 Mg/m³

Cell: 4.7201 4.7201 4.7201 Å, 60.00 60.00 60.00°
Last column: nearest neighbours and their distance in Å.
Positions (direct):
Na1 0.2500 0.2500 0.2500  4 Ta 2.89, 4 Pt 2.89
Na2 0.7500 0.7500 0.7500  4 Ta 2.89, 4 Pt 2.89
Pt1 0.5000 0.5000 0.5000  8 Na 2.89
Ta1 0.0000 0.0000 0.0000  8 Na 2.89

***

What should be chosen as the least stable of them? Choose Q.